RbCr3O8: optimized geometry, PBE+U.

The excess energy over the best structure of this formula in the dataset is 0.019 eV/atom. The calculated total energy is -6.7548 eV per atom.

The space group is R-3 (No. 148, hexagonal axes) and the conventional cell measures 5.1870, 5.1870 and 24.9838 Å, with angles of 90.00, 90.00 and 120.00 degrees. The distinct sites, in fractional coordinates, are Rb at (0.0000, 0.0000, 0.0000), Cr at (0.0000, 0.0000, 0.2345), Cr at (0.0000, 0.0000, 0.5000), O at (0.0000, 0.0000, 0.3000) and O at (0.0023, 0.6123, 0.8804).